# Pm2Hf2MgPt5, optimized geometry, DFT PBE
# E	-6.94	eV per atom
data_Pm2Hf2MgPt5
_symmetry_space_group_name_H-M 'P 4/m b m'
_symmetry_Int_Tables_number 127
_symmetry_space_group_name_Hall '-P 4 2ab'
_cell_length_a 10.9642
_cell_length_b 10.9642
_cell_length_c 3.4052
_cell_angle_alpha 90.00
_cell_angle_beta 90.00
_cell_angle_gamma 90.00
loop_
_atom_site_label
_atom_site_fract_x
_atom_site_fract_y
_atom_site_fract_z
Pm1 0.1689 0.3311 0.0000
Hf1 0.1365 0.6365 0.0000
Mg1 0.0000 0.0000 0.0000
Pt1 0.0000 0.5000 0.5000
Pt2 0.0590 0.8106 0.5000

***

# Ta2CoRu, optimized geometry, DFT PBE
# E	-10.22	eV per atom
data_Ta2CoRu
_symmetry_space_group_name_H-M 'I 4/m m m'
_symmetry_Int_Tables_number 139
_symmetry_space_group_name_Hall '-I 4 2'
_cell_length_a 4.1455
_cell_length_b 4.1455
_cell_length_c 7.0787
_cell_angle_alpha 90.00
_cell_angle_beta 90.00
_cell_angle_gamma 90.00
loop_
_atom_site_label
_atom_site_fract_x
_atom_site_fract_y
_atom_site_fract_z
Ta1 0.0000 0.5000 0.2500
Co1 0.0000 0.0000 0.0000
Ru1 0.0000 0.0000 0.5000

***

Which value of E does entry 2 give?
-10.22 eV per atom

***

E of number 1 (Pm2Hf2MgPt5)?
-6.94 eV per atom

***

The lowest E belongs to which entry?
Ta2CoRu

***

Which value of E does entry 1 give?
-6.94 eV per atom